No. 1
This record from Alexandria describes a crystal of MnInOs relaxed with PBEsol. The functional is SCAN.

a b c (Å): 7.046 6.790 2.816
angles (deg): 83.42 73.19 23.39
Fractional coordinates of all 3 atoms:
Mn: 0.000 0.000 0.000
In: 0.327 0.327 0.673
Os: 0.646 0.646 0.354

Output
**SG**: Fmm2 (42)
**Formation energy from the elements**: 0.354 eV per atom



No. 2
This record from Alexandria describes a crystal of MnInOs2 relaxed with PBEsol. The functional is SCAN.

a b c (Å): 8.883 8.883 8.883
angles (deg): 18.01 18.01 18.01
Fractional coordinates of all 4 atoms:
Mn: 0.000 0.000 0.000
In: 0.500 0.500 0.500
Os: 0.259 0.259 0.259
Os: 0.741 0.741 0.741

Output
**SG**: R-3m (166)
**Formation energy from the elements**: 0.309 eV per atom



No. 3
This record from Alexandria describes a crystal of MnInOs2 relaxed with PBEsol. The functional is SCAN.

a b c (Å): 2.765 2.765 9.016
angles (deg): 90.00 90.00 117.72
Fractional coordinates of all 4 atoms:
Mn: 0.000 0.000 0.000
In: 0.500 0.500 0.741
Os: 0.000 0.000 0.473
Os: 0.500 0.500 0.228

Output
**SG**: Cmm2 (35)
**Formation energy from the elements**: 0.521 eV per atom



No. 4
This record from Alexandria describes a crystal of MnIn2Os relaxed with PBEsol. The functional is SCAN.

a b c (Å): 2.983 4.517 5.091
angles (deg): 90.00 93.63 90.00
Fractional coordinates of all 4 atoms:
Mn: 0.000 0.000 0.000
In: 0.243 0.500 0.749
In: 0.757 0.500 0.251
Os: 0.500 0.000 0.500

Output
**SG**: P2/m (10)
**Formation energy from the elements**: 0.354 eV per atom



No. 5
This record from Alexandria describes a crystal of Mn2InOs relaxed with PBEsol. The functional is SCAN.

a b c (Å): 2.795 3.644 5.570
angles (deg): 90.00 90.00 90.00
Fractional coordinates of all 4 atoms:
Mn: 0.000 0.000 0.214
Mn: 0.000 0.000 0.786
In: 0.500 0.500 0.500
Os: 0.500 0.500 0.000

Output
**SG**: Pmmm (47)
**Formation energy from the elements**: 0.075 eV per atom



No. 6
This record from Alexandria describes a crystal of MnIn2Os relaxed with PBEsol. The functional is SCAN.

a b c (Å): 5.581 5.581 5.581
angles (deg): 147.92 131.96 58.94
Fractional coordinates of all 4 atoms:
Mn: 0.000 0.000 0.000
In: 0.459 0.459 0.000
In: 0.743 0.243 0.500
Os: 0.201 0.701 0.500

Output
**SG**: Imm2 (44)
**Formation energy from the elements**: 0.205 eV per atom



No. 7
This record from Alexandria describes a crystal of MnInOs2 relaxed with PBEsol. The functional is SCAN.

a b c (Å): 2.775 2.775 7.475
angles (deg): 90.00 90.00 90.00
Fractional coordinates of all 4 atoms:
Mn: 0.000 0.000 0.000
In: 0.000 0.000 0.500
Os: 0.500 0.500 0.215
Os: 0.500 0.500 0.785

Output
**SG**: P4/mmm (123)
**Formation energy from the elements**: 0.263 eV per atom



No. 8
This record from Alexandria describes a crystal of MnInP2 relaxed with PBEsol. The functional is SCAN.

a b c (Å): 4.429 4.429 3.336
angles (deg): 90.00 90.00 90.00
Fractional coordinates of all 4 atoms:
Mn: 0.000 0.000 0.000
In: 0.500 0.500 0.000
P: 0.000 0.500 0.500
P: 0.500 0.000 0.500

Output
**SG**: P4/mmm (123)
**Formation energy from the elements**: 0.274 eV per atom



No. 9
This record from Alexandria describes a crystal of Mn2InP relaxed with PBEsol. The functional is SCAN.

a b c (Å): 3.661 3.913 4.106
angles (deg): 90.00 90.00 90.00
Fractional coordinates of all 4 atoms:
Mn: 0.000 0.000 0.000
Mn: 0.000 0.500 0.500
In: 0.500 0.000 0.500
P: 0.500 0.500 0.000

Output
**SG**: Pmmm (47)
**Formation energy from the elements**: 0.021 eV per atom



No. 10
This record from Alexandria describes a crystal of MnInP2 relaxed with PBEsol. The functional is SCAN.

a b c (Å): 2.908 2.908 7.122
angles (deg): 90.00 90.00 90.00
Fractional coordinates of all 4 atoms:
Mn: 0.000 0.000 0.000
In: 0.500 0.500 0.712
P: 0.000 0.000 0.335
P: 0.500 0.500 0.136

Output
**SG**: P4mm (99)
**Formation energy from the elements**: 0.202 eV per atom



No. 11
This record from Alexandria describes a crystal of Mn2InP relaxed with PBEsol. The functional is SCAN.

a b c (Å): 3.011 3.011 6.166
angles (deg): 90.00 90.00 90.00
Fractional coordinates of all 4 atoms:
Mn: 0.000 0.000 0.000
Mn: 0.500 0.500 0.237
In: 0.500 0.500 0.724
P: 0.000 0.000 0.375

Output
**SG**: P4mm (99)
**Formation energy from the elements**: -0.060 eV per atom



No. 12
This record from Alexandria describes a crystal of MnInPb2 relaxed with PBEsol. The functional is SCAN.

a b c (Å): 5.606 5.606 5.606
angles (deg): 131.34 131.34 71.27
Fractional coordinates of all 4 atoms:
Mn: 0.000 0.000 0.000
In: 0.500 0.500 0.000
Pb: 0.250 0.750 0.500
Pb: 0.750 0.250 0.500

Output
**SG**: I4/mmm (139)
**Formation energy from the elements**: 0.151 eV per atom



No. 13
This record from Alexandria describes a crystal of Mn2InPdRu relaxed with PBEsol. The functional is SCAN.

a b c (Å): 4.480 4.480 4.984
angles (deg): 90.00 90.00 90.00
Fractional coordinates of all 5 atoms:
Mn: 0.000 0.500 0.000
Mn: 0.500 0.000 0.000
In: 0.000 0.000 0.500
Pd: 0.500 0.500 0.500
Ru: 0.000 0.000 0.000

Output
**SG**: P4/mmm (123)
**Formation energy from the elements**: 0.666 eV per atom



No. 14
This record from Alexandria describes a crystal of MnInPt4 relaxed with PBEsol. The functional is SCAN.

a b c (Å): 5.239 5.239 5.239
angles (deg): 60.00 60.00 60.00
Fractional coordinates of all 6 atoms:
Mn: 0.000 0.000 0.000
In: 0.250 0.250 0.250
Pt: 0.125 0.625 0.625
Pt: 0.625 0.125 0.625
Pt: 0.625 0.625 0.125
Pt: 0.625 0.625 0.625

Output
**SG**: F-43m (216)
**Formation energy from the elements**: -0.328 eV per atom



No. 15
This record from Alexandria describes a crystal of MnInPt2 relaxed with PBEsol. The functional is SCAN.

a b c (Å): 2.904 4.593 4.752
angles (deg): 90.00 90.00 90.00
Fractional coordinates of all 4 atoms:
Mn: 0.000 0.000 0.000
In: 0.000 0.500 0.404
Pt: 0.500 0.000 0.519
Pt: 0.500 0.500 0.909

Output
**SG**: Pmm2 (25)
**Formation energy from the elements**: -0.593 eV per atom



No. 16
This record from Alexandria describes a crystal of MnInPt2 relaxed with PBEsol. The functional is SCAN.

a b c (Å): 4.931 4.931 4.683
angles (deg): 101.60 101.60 34.70
Fractional coordinates of all 4 atoms:
Mn: 0.000 0.000 0.000
In: 0.244 0.244 0.681
Pt: 0.495 0.495 0.483
Pt: 0.740 0.740 0.172

Output
**SG**: Cm (8)
**Formation energy from the elements**: -0.535 eV per atom



No. 17
This record from Alexandria describes a crystal of MnInPt2 relaxed with PBEsol. The functional is SCAN.

a b c (Å): 4.952 4.952 4.952
angles (deg): 133.44 133.44 67.97
Fractional coordinates of all 4 atoms:
Mn: 0.000 0.000 0.000
In: 0.750 0.250 0.500
Pt: 0.250 0.750 0.500
Pt: 0.500 0.500 0.000

Output
**SG**: I-4m2 (119)
**Formation energy from the elements**: -0.586 eV per atom



No. 18
This record from Alexandria describes a crystal of Rb2MnIn relaxed with PBEsol. The functional is SCAN.

a b c (Å): 6.038 6.038 6.038
angles (deg): 60.00 60.00 60.00
Fractional coordinates of all 4 atoms:
Rb: 0.250 0.250 0.250
Rb: 0.750 0.750 0.750
Mn: 0.000 0.000 0.000
In: 0.500 0.500 0.500

Output
**SG**: Fm-3m (225)
**Formation energy from the elements**: 0.497 eV per atom



No. 19
This record from Alexandria describes a crystal of RbMn2InSi relaxed with PBEsol. The functional is SCAN.

a b c (Å): 4.743 4.743 6.087
angles (deg): 90.00 90.00 90.00
Fractional coordinates of all 5 atoms:
Rb: 0.000 0.000 0.000
Mn: 0.000 0.500 0.500
Mn: 0.500 0.000 0.500
In: 0.500 0.500 0.000
Si: 0.000 0.000 0.500

Output
**Raw total energy**: -98.16 eV per formula unit
**SG**: P4/mmm (123)



No. 20
This record from Alexandria describes a crystal of MnInRe2 relaxed with PBEsol. The functional is SCAN.

a b c (Å): 4.363 4.363 4.363
angles (deg): 60.00 60.00 60.00
Fractional coordinates of all 4 atoms:
Mn: 0.000 0.000 0.000
In: 0.250 0.250 0.250
Re: 0.500 0.500 0.500
Re: 0.750 0.750 0.750

Output
**SG**: F-43m (216)
**Formation energy from the elements**: 0.322 eV per atom